This record from Alexandria via LeMat-Bulk describes crystalline YCrPd2Cl at its relaxed geometry. The functional is GGA-PBEsol.

Properties
DOS at the Fermi energy: 0.54 states/eV per atom
Space group: No. 123
Total DFT energy (no corrections): -29.68 eV/cell
Formation energy (no corrections): 1.31 eV per formula unit

POSCAR file:
```
YCrPd2Cl
1.0
-4.019 -1.926 0.840
0.228 -2.202 -3.958
2.250 -3.733 2.206
Y Cr Pd Cl
1 1 2 1
Direct
0.000 0.000 0.500 Y
0.500 0.500 0.500 Cr
0.000 0.500 0.000 Pd
0.500 0.000 0.000 Pd
0.000 0.000 0.000 Cl
```